Entry 1:
An optimized crystal structure of CdReRh3, computed with GGA-PBE.

Lattice parameters (Å, degrees): 4.716 4.716 4.716 90.00 90.00 90.00
Space group Pm-3m (No. 221)
Asymmetric unit:
Cd: 0.000 0.000 0.000 [1 per cell]
Re: 0.500 0.500 0.500 [1 per cell]
Rh: 0.000 0.500 0.500 [3 per cell]

Results
- distance to the lowest polymorph of the same formula (eV/f.u.) = 0.00
- E_form (eV/atom) = 0.9885
- uncorrected energy (eV per atom) = -6.095


Entry 2:
An optimized crystal structure of LiH3Pd, computed with GGA-PBE.

Lattice parameters (Å, degrees): 9.985 3.026 5.551 90.00 95.66 90.00
Space group C2/m (No. 12)
Asymmetric unit:
Li: 0.134 0.000 0.396 [4 per cell]
H: 0.053 0.000 0.763 [4 per cell]
H: 0.171 0.500 0.570 [4 per cell]
H: 0.183 0.000 0.053 [4 per cell]
Pd: 0.128 0.500 0.867 [4 per cell]

Results
- uncorrected energy (eV per atom) = -3.569


Entry 3:
An optimized crystal structure of LiZr2Cu, computed with GGA-PBE.

Lattice parameters (Å, degrees): 6.680 6.680 6.680 90.00 90.00 90.00
Space group F-43m (No. 216)
Asymmetric unit:
Li: 0.000 0.000 0.000 [4 per cell]
Zr: 0.000 0.000 0.500 [4 per cell]
Zr: 0.250 0.250 0.750 [4 per cell]
Cu: 0.250 0.250 0.250 [4 per cell]

Results
- distance to the lowest polymorph of the same formula (eV/f.u.) = 1.41
- E_form (eV/atom) = 0.3651
- uncorrected energy (eV per atom) = -5.411


Entry 4:
An optimized crystal structure of TlFeSi2, computed with GGA-PBE.

Lattice parameters (Å, degrees): 5.332 7.423 3.571 90.00 90.00 90.00
Space group Cmmm (No. 65)
Asymmetric unit:
Tl: 0.000 0.000 0.000 [2 per cell]
Fe: 0.000 0.500 0.000 [2 per cell]
Si: 0.250 0.250 0.500 [4 per cell]

Results
- distance to the lowest polymorph of the same formula (eV/f.u.) = 2.45
- uncorrected energy (eV per atom) = -4.675
- E_form (uncorrected) (eV/atom) = 0.74


Entry 5:
An optimized crystal structure of SiTe4, computed with GGA-PBE.

Lattice parameters (Å, degrees): 5.288 5.288 5.288 90.00 90.00 90.00
Space group Pm-3m (No. 221)
Asymmetric unit:
Si: 0.000 0.000 0.000 [1 per cell]
Te: 0.000 0.000 0.500 [3 per cell]
Te: 0.500 0.500 0.500 [1 per cell]

Results
- distance to the lowest polymorph of the same formula (eV/f.u.) = 1.67
- uncorrected energy (eV per atom) = -3.100
- E_form (uncorrected) (eV/atom) = 0.50


Entry 6:
An optimized crystal structure of CePr5Hg5, computed with GGA-PBE.

Lattice parameters (Å, degrees): 17.403 5.843 7.135 90.00 108.82 90.00
Space group C2/m (No. 12)
Asymmetric unit:
Ce: 0.000 0.000 0.000 [2 per cell]
Pr: 0.000 0.000 0.500 [2 per cell]
Pr: 0.128 0.500 0.702 [4 per cell]
Pr: 0.188 0.500 0.242 [4 per cell]
Hg: 0.000 0.500 0.000 [2 per cell]
Hg: 0.159 0.000 0.394 [4 per cell]
Hg: 0.178 0.000 0.964 [4 per cell]

Results
- E_form (eV/atom) = -0.2123
- uncorrected energy (eV per atom) = -3.061


Entry 7:
An optimized crystal structure of ThSi4Ir2, computed with GGA-PBE.

Lattice parameters (Å, degrees): 16.689 4.264 6.508 90.00 90.00 90.00
Space group Pnma (No. 62)
Asymmetric unit:
Th: 0.141 0.250 0.001 [4 per cell]
Si: 0.032 0.750 0.147 [4 per cell]
Si: 0.064 0.250 0.535 [4 per cell]
Si: 0.180 0.750 0.681 [4 per cell]
Si: 0.192 0.750 0.286 [4 per cell]
Ir: 0.031 0.750 0.750 [4 per cell]
Ir: 0.211 0.250 0.482 [4 per cell]

Results
- uncorrected energy (eV per atom) = -7.444
- E_form (uncorrected) (eV/atom) = -0.75


Entry 8:
An optimized crystal structure of In2CoRu, computed with GGA-PBE.

Lattice parameters (Å, degrees): 4.469 4.469 3.233 90.00 90.00 90.00
Space group P4/mmm (No. 123)
Asymmetric unit:
In: 0.000 0.500 0.000 [2 per cell]
Co: 0.000 0.000 0.500 [1 per cell]
Ru: 0.500 0.500 0.500 [1 per cell]

Results
- E_form (eV/atom) = 0.0969
- uncorrected energy (eV per atom) = -5.368


Entry 9:
An optimized crystal structure of AlCdAgOs2, computed with GGA-PBE.

Lattice parameters (Å, degrees): 4.522 4.522 4.836 90.00 90.00 90.00
Space group P4/mmm (No. 123)
Asymmetric unit:
Al: 0.000 0.000 0.000 [1 per cell]
Cd: 0.000 0.000 0.500 [1 per cell]
Ag: 0.500 0.500 0.500 [1 per cell]
Os: 0.000 0.500 0.000 [2 per cell]

Results
- distance to the lowest polymorph of the same formula (eV/f.u.) = 0.87
- E_form (eV/atom) = 1.4303
- uncorrected energy (eV per atom) = -4.563


Entry 10:
An optimized crystal structure of LaCuAs2, computed with GGA-PBE.

Lattice parameters (Å, degrees): 4.1462 4.1462 17.8365 90.00 90.00 120.00
Space group R3m (No. 160, hexagonal axes)
Asymmetric unit:
La: 0.0000 0.0000 0.0000 [3 per cell]
Cu: 0.0000 0.0000 0.8150 [3 per cell]
As: 0.0000 0.0000 0.2258 [3 per cell]
As: 0.0000 0.0000 0.4317 [3 per cell]

Results
- E_form (eV/atom) = -0.4803
- uncorrected energy (eV per atom) = -5.061